Entry from Alexandria via LeMat-Bulk: crystalline KCrFe2O at its relaxed geometry (PBE+U).

a = 4.2845 Å, b = 5.4599 Å, c = 4.2845 Å
α = 90.00°, β = 90.00°, γ = 90.00°
Closest atoms and distances in Å follow each position.
Positions (direct):
Cr 0.5000 0.5000 0.5000  4 K 3.03
K 0.0000 0.5000 0.0000  2 O 2.73, 4 Cr 3.03
Fe 0.0000 0.0000 0.5000  2 O 2.14
Fe 0.5000 0.0000 0.0000  2 O 2.14
O 0.0000 0.0000 0.0000  4 Fe 2.14

Values from the calculation:
total moment	12.34	μB/f.u.
E	-4.693	eV/atom
symmetry	P4/mmm, No. 123